(1)
Compound: SrMgAl2
Source: Alexandria
Functional: PBE
Structure: optimized geometry

Crystal system: tetragonal
Symmetry: I-42d, No. 122
DOS(E_F), states/eV/cell: 4.53

Lattice parameters (Å, degrees): 5.0625 5.0625 10.2667 75.73 75.73 90.00
Last column: nearest neighbours and their distance in Å.
Element x y z (fractional)
Al 0.3750 0.5505 0.7500  2 Al 2.64, 2 Mg 2.74
Al 0.8750 0.6995 0.7500  2 Al 2.64, 2 Mg 2.74
Mg 0.2500 0.7500 0.5000  4 Al 2.74
Al 0.4495 0.1250 0.2500  2 Al 2.64, 2 Mg 2.74
Al 0.3005 0.6250 0.2500  2 Al 2.64, 2 Mg 2.74
Mg 0.5000 0.5000 0.0000  4 Al 2.74
Sr 0.7500 0.2500 0.5000  4 Al 3.47, 4 Mg 3.58
Sr 0.0000 0.0000 0.0000  4 Al 3.47, 4 Mg 3.58

=====

(2)
Compound: HoAl2Au8
Source: Alexandria
Functional: PBE
Structure: optimized geometry

Crystal system: monoclinic
Symmetry: C2/m, No. 12
DOS(E_F), states/eV/cell: 2.46

Lattice parameters (Å, degrees): 4.2707 7.5660 7.4244 115.93 106.72 90.00
Last column: nearest neighbours and their distance in Å.
Element x y z (fractional)
Au 0.1643 0.2828 0.3286  3 Al 2.66-2.85, 4 Au 2.85-2.98
Au 0.6831 0.9010 0.3662  3 Al 2.71-2.82, 5 Au 2.80-2.92, 1 Ho 3.02
Ho 0.5000 0.0000 0.0000  12 Au 3.02-3.17
Au 0.8357 0.7172 0.6714  3 Al 2.66-2.85, 4 Au 2.85-2.98
Al 0.2192 0.6957 0.4385  9 Au 2.66-2.85
Au 0.0411 0.7376 0.0821  1 Al 2.69, 5 Au 2.81-2.87
Al 0.7808 0.3043 0.5615  9 Au 2.66-2.85
Au 0.9589 0.2624 0.9179  1 Al 2.69, 5 Au 2.81-2.87
Au 0.6019 0.4699 0.2038  2 Al 2.77, 6 Au 2.87-2.98
Au 0.3981 0.5301 0.7962  2 Al 2.77, 6 Au 2.87-2.98
Au 0.3169 0.0990 0.6338  3 Al 2.71-2.82, 5 Au 2.80-2.92, 1 Ho 3.02

=====

| no. | formation energy from the elements (eV/atom) |
| --- | --- |
| 1 | 0.180 |
| 2 | -0.407 |